Record 1
Tl2CdPb | PBEsol | optimized geometry

The structure in POSCAR format:
```
Tl2CdPb
1.0
1.763 -2.815 0.000
1.763 2.815 0.000
0.000 0.000 10.920
Tl Cd Pb
2 1 1
Cartesian
0.000 0.000 0.000
1.763 0.000 2.844
1.763 0.000 8.360
0.000 0.000 5.739
```

Output
Density of states at the Fermi level (states/eV/f.u.): 1.8
Symmetry: No. 35

---

Record 2
TlCd2Pb | PBEsol | optimized geometry

The structure in POSCAR format:
```
TlCd2Pb
1.0
3.528 0.000 0.000
0.000 5.352 0.000
0.000 0.000 5.419
Tl Cd Pb
1 2 1
Cartesian
0.000 0.000 0.000
0.000 2.676 2.709
1.764 2.676 0.000
1.764 0.000 2.709
```

Output
Density of states at the Fermi level (states/eV/f.u.): 1.9
Symmetry: No. 47

---

Record 3
Tl2CdPb | PBEsol | optimized geometry

The structure in POSCAR format:
```
Tl2CdPb
1.0
3.727 0.000 0.000
0.000 3.727 0.000
0.000 0.000 7.760
Tl Cd Pb
2 1 1
Cartesian
0.000 0.000 0.000
1.864 1.864 2.049
0.000 0.000 3.796
1.864 1.864 5.619
```

Output
Density of states at the Fermi level (states/eV/f.u.): 1.6
Symmetry: No. 99

---

Record 4
Tl2CdPb | PBEsol | optimized geometry

The structure in POSCAR format:
```
Tl2CdPb
1.0
5.517 -1.686 0.000
5.517 1.686 0.000
-1.233 0.000 5.779
Tl Cd Pb
2 1 1
Cartesian
0.000 0.000 0.000
1.754 0.000 4.326
7.867 0.000 1.430
4.751 0.000 2.803
```

Output
Density of states at the Fermi level (states/eV/f.u.): 1.8
Symmetry: No. 8

---

Record 5
Tl2CdPb | PBEsol | optimized geometry

The structure in POSCAR format:
```
Tl2CdPb
1.0
3.820 0.000 0.000
0.000 5.261 0.000
0.000 0.000 5.377
Tl Cd Pb
2 1 1
Cartesian
0.000 0.000 0.000
1.910 2.631 0.000
0.000 2.631 2.689
1.910 0.000 2.689
```

Output
Density of states at the Fermi level (states/eV/f.u.): 1.7
Symmetry: No. 47

---

Record 6
TlCd2Pb | PBEsol | optimized geometry

The structure in POSCAR format:
```
TlCd2Pb
1.0
1.650 0.953 10.715
-1.650 0.953 10.715
0.000 -1.905 10.715
Tl Cd Pb
1 2 1
Cartesian
0.000 0.000 0.000
0.000 0.000 8.078
0.000 0.000 24.066
0.000 0.000 16.072
```

Output
Density of states at the Fermi level (states/eV/f.u.): 1.7
Symmetry: No. 166

---

Record 7
Tl2CdPb | PBEsol | optimized geometry

The structure in POSCAR format:
```
Tl2CdPb
1.0
3.345 0.000 0.000
0.000 5.219 0.000
-1.531 0.000 6.213
Tl Cd Pb
2 1 1
Cartesian
0.183 0.000 1.614
1.631 0.000 4.598
-0.765 2.610 3.106
1.672 2.610 0.000
```

Output
Density of states at the Fermi level (states/eV/f.u.): 1.6
Symmetry: No. 10

---

Record 8
TlCd2Pb | PBEsol | optimized geometry

The structure in POSCAR format:
```
TlCd2Pb
1.0
3.478 -4.328 0.000
3.478 4.328 0.000
-0.011 0.000 3.351
Tl Cd Pb
1 2 1
Cartesian
0.000 0.000 0.000
1.733 2.164 1.676
1.733 -2.164 1.676
3.478 0.000 0.000
```

Output
Density of states at the Fermi level (states/eV/f.u.): 1.6
Symmetry: No. 12

---

Record 9
Tl2CdPb | PBEsol | optimized geometry

The structure in POSCAR format:
```
Tl2CdPb
1.0
1.706 0.985 10.621
-1.706 0.985 10.621
0.000 -1.970 10.621
Tl Cd Pb
2 1 1
Cartesian
0.000 0.000 7.813
0.000 0.000 24.049
0.000 0.000 15.931
0.000 0.000 0.000
```

Output
Density of states at the Fermi level (states/eV/f.u.): 1.8
Symmetry: No. 166

---

Record 10
TlCd2Pb | PBEsol | optimized geometry

The structure in POSCAR format:
```
TlCd2Pb
1.0
-1.886 2.588 5.212
1.886 -2.588 5.212
1.886 2.588 -5.212
Tl Cd Pb
1 2 1
Cartesian
0.000 0.000 0.000
1.886 0.000 2.630
0.000 0.000 4.962
0.000 2.588 2.391
```

Output
Density of states at the Fermi level (states/eV/f.u.): 1.4
Symmetry: No. 44

---

Record 11
Tl2CdPb | PBEsol | optimized geometry

The structure in POSCAR format:
```
Tl2CdPb
1.0
-1.850 2.710 5.399
1.850 -2.710 5.399
1.850 2.710 -5.399
Tl Cd Pb
2 1 1
Cartesian
0.000 0.000 0.000
0.000 2.710 2.555
1.850 0.000 2.517
0.000 0.000 5.070
```

Output
Density of states at the Fermi level (states/eV/f.u.): 1.8
Symmetry: No. 44

---

Record 12
Tl2CdPb | PBEsol | optimized geometry

The structure in POSCAR format:
```
Tl2CdPb
1.0
0.000 3.781 3.781
3.781 0.000 3.781
3.781 3.781 0.000
Tl Cd Pb
2 1 1
Cartesian
0.000 0.000 0.000
1.891 1.891 1.891
5.672 5.672 5.672
3.781 3.781 3.781
```

Output
Density of states at the Fermi level (states/eV/f.u.): 1.3
Symmetry: No. 216

---

Record 13
Tl2Cd2Pb | PBEsol | optimized geometry

The structure in POSCAR format:
```
Tl2Cd2Pb
1.0
8.288 0.000 0.000
0.000 8.288 0.000
0.000 0.000 3.829
Tl Cd Pb
4 4 2
Cartesian
1.423 2.721 0.000
2.721 6.865 0.000
5.567 1.423 0.000
6.865 5.567 0.000
1.056 5.200 1.915
3.088 1.056 1.915
5.200 7.232 1.915
7.232 3.088 1.915
0.000 0.000 1.915
4.144 4.144 1.915
```

Output
Density of states at the Fermi level (states/eV/f.u.): 2.2
Symmetry: No. 127

---

Record 14
Tl2CdPb | PBEsol | optimized geometry

The structure in POSCAR format:
```
Tl2CdPb
1.0
1.807 -2.763 0.000
1.807 2.763 0.000
0.000 0.000 10.828
Tl Cd Pb
2 1 1
Cartesian
0.000 0.000 2.559
0.000 0.000 8.269
1.807 0.000 0.000
1.807 0.000 5.414
```

Output
Density of states at the Fermi level (states/eV/f.u.): 1.8
Symmetry: No. 65

---

Record 15
TlCd2Pb | PBEsol | optimized geometry

The structure in POSCAR format:
```
TlCd2Pb
1.0
1.659 0.958 10.564
-1.659 0.958 10.564
0.000 -1.916 10.564
Tl Cd Pb
1 2 1
Cartesian
0.000 0.000 0.000
0.000 0.000 7.940
0.000 0.000 16.173
0.000 0.000 24.065
```

Output
Density of states at the Fermi level (states/eV/f.u.): 2.1
Symmetry: No. 160

---

Values of formation energy from the elements, in order: 0.20, 0.40, 0.15, 0.19, 0.22, 0.33, 0.18, 0.29, 0.15, 0.29, 0.20, 0.21, 0.36, 0.22, 0.23, all in eV per formula unit.